Record 1
This record from Alexandria via LeMat-Bulk describes a relaxed NpInSbAu crystal. The functional is GGA-PBE.

extended XYZ file:
```
4
Lattice="5.160 0.000 0.000 2.580 4.469 0.000 2.580 1.490 4.213" Properties=species:S:1:pos:R:3 pbc="T T T"
Np 7.740 4.469 3.160
Sb 0.000 0.000 0.000
In 2.580 1.490 1.053
Au 5.160 2.979 2.107
```

Output
Space group: F-43m (216)
Total magnetization in μB/f.u.: 4.33
ΔE_f (raw) in meV/atom: -60
Polymorph energy (0 for the lowest one) in kJ/mol of formula units: 51

Record 2
This record from Alexandria via LeMat-Bulk describes a relaxed BeZnTe2S crystal. The functional is GGA-PBE.

extended XYZ file:
```
5
Lattice="-2.494 -5.758 -1.848 2.921 -1.278 0.039 0.331 0.956 6.436" Properties=species:S:1:pos:R:3 pbc="T T T"
Te 0.762 -2.173 2.064
S -2.071 -4.638 3.065
Te -0.046 -4.106 -0.755
Be -0.107 -4.117 3.409
Zn -0.764 -5.684 1.271
```

Output
Space group: Pm (6)
Total magnetization in μB/f.u.: 0.00
ΔE_f (raw) in meV/atom: -315
Polymorph energy (0 for the lowest one) in kJ/mol of formula units: 45

Record 3
This record from Alexandria via LeMat-Bulk describes a relaxed La3Nd2N4 crystal. The functional is GGA-PBE.

extended XYZ file:
```
9
Lattice="3.611 0.000 0.888 1.616 6.171 1.213 -0.121 0.455 8.278" Properties=species:S:1:pos:R:3 pbc="T T T"
N 3.297 4.315 2.166
Nd 2.395 1.303 5.830
La 3.745 4.039 8.130
La 0.000 0.000 0.000
La 1.362 2.586 2.249
N 2.993 0.652 3.402
Nd 2.711 5.323 4.548
N 1.809 2.311 8.213
N 2.113 5.973 6.977
```

Output
Space group: C2/m (12)
Total magnetization in μB/f.u.: 0.69
ΔE_f (raw) in meV/atom: -1207

Record 4
This record from Alexandria via LeMat-Bulk describes a relaxed TaNbS3 crystal. The functional is GGA-PBE.

extended XYZ file:
```
10
Lattice="3.327 0.000 0.000 0.000 6.221 0.116 -1.663 -1.375 10.471" Properties=species:S:1:pos:R:3 pbc="T T T"
S 0.000 1.546 0.403
Nb 0.000 5.726 2.073
Ta 1.663 1.945 2.152
S 1.663 0.101 3.661
Ta 0.000 2.900 8.435
S 0.000 4.745 6.926
S 0.000 3.431 3.195
Nb 1.663 -0.881 8.513
S 1.663 1.414 7.392
S 1.663 3.300 10.183
```

Output
Space group: C2/m (12)
Total magnetization in μB/f.u.: 0.66
ΔE_f (raw) in meV/atom: -824
Polymorph energy (0 for the lowest one) in kJ/mol of formula units: 84

Record 5
This record from Alexandria via LeMat-Bulk describes a relaxed LaPmP2 crystal. The functional is GGA-PBE.

extended XYZ file:
```
4
Lattice="4.204 0.000 0.000 2.102 3.641 0.000 2.102 1.214 6.866" Properties=species:S:1:pos:R:3 pbc="T T T"
La 0.000 0.000 0.000
P 6.306 3.641 5.106
P 2.102 1.214 1.760
Pm 4.204 2.427 3.433
```

Output
Space group: R-3m (166)
Total magnetization in μB/f.u.: 0.00
Polymorph energy (0 for the lowest one) in kJ/mol of formula units: 0
ΔE_f in eV per formula unit: -6.27

Record 6
This record from Alexandria via LeMat-Bulk describes a relaxed Ba5MgTl6 crystal. The functional is GGA-PBE.

extended XYZ file:
```
12
Lattice="-2.499 3.027 -4.440 9.459 -2.531 -3.086 -6.686 -7.285 2.761" Properties=species:S:1:pos:R:3 pbc="T T T"
Ba -1.242 -5.682 0.789
Tl 1.460 -6.875 -1.558
Tl 2.611 -4.631 -4.609
Tl -2.178 -6.041 -2.874
Ba 4.014 -4.134 -1.115
Tl 2.451 -0.747 -1.891
Mg 0.000 0.000 0.000
Tl -1.187 0.086 -3.208
Ba -5.038 -4.918 -0.509
Ba 5.311 -1.871 -4.257
Ba 0.136 -3.394 -2.383
Tl -2.338 -2.157 -0.157
```

Output
Space group: C2/m (12)
Total magnetization in μB/f.u.: 0.00
ΔE_f in eV per formula unit: -4.21

Record 7
This record from Alexandria via LeMat-Bulk describes a relaxed K3Ba12Cl5 crystal. The functional is GGA-PBE.

extended XYZ file:
```
80
Lattice="18.168 0.000 0.000 -6.056 17.129 0.000 -6.056 -8.564 14.834" Properties=species:S:1:pos:R:3 pbc="T T T"
Ba -7.259 0.054 12.086
Ba 7.666 -1.778 8.838
Cl 0.000 0.000 0.000
Ba -5.499 7.531 7.548
Ba -5.905 6.956 14.703
Cl 7.570 -5.353 12.980
Cl 4.542 12.847 3.708
K 10.598 11.776 1.854
Ba 7.259 2.407 13.507
Ba -3.585 10.075 11.955
Ba 4.638 6.787 5.996
Ba 1.825 -2.407 13.507
K -1.514 7.494 9.271
Ba 7.881 8.618 2.748
Ba 11.555 1.033 7.286
Ba 5.905 3.364 8.744
Ba 9.641 -1.511 2.879
Ba 8.527 9.597 7.548
Ba 10.502 -6.082 13.375
Cl -1.514 4.282 3.708
Ba 9.234 15.520 0.131
K -4.542 3.212 12.980
Cl 6.056 8.564 0.000
Ba 3.585 2.544 4.669
Cl -1.514 13.917 1.854
Ba 9.234 4.973 5.958
Ba -1.610 10.342 5.996
Cl 1.514 -4.282 11.125
Cl -3.028 8.564 0.000
K 1.514 8.564 3.708
Ba 13.315 8.510 2.748
Ba -3.178 3.592 8.876
Cl -1.514 1.071 9.271
K -7.570 8.564 11.125
Ba -1.418 -4.304 10.296
Ba 6.613 7.053 11.955
Ba -1.825 -0.054 12.086
Cl -4.542 9.635 5.563
Ba 1.418 1.778 8.838
Ba 4.231 6.211 1.421
Ba -2.471 -1.033 7.286
Ba 0.150 5.200 6.090
Ba 4.231 10.971 1.327
K 1.514 -1.071 5.563
K -4.542 -3.212 12.980
Cl 10.598 -1.071 9.271
Ba 12.262 -3.592 8.876
Cl 3.028 4.282 7.417
Ba 5.499 -2.544 4.669
Ba 3.178 -3.364 8.744
Ba 0.557 11.108 10.165
K 7.570 1.071 5.563
Ba 13.722 4.260 4.538
Cl 6.056 -4.282 7.417
Cl -6.056 4.282 7.417
Ba 2.471 6.020 10.165
Ba -3.178 -6.956 14.703
Cl -3.028 -4.282 7.417
Ba -1.418 6.082 13.375
Ba -1.203 10.917 1.421
Cl 4.542 3.212 1.854
Ba 2.878 11.929 6.090
Ba 7.474 12.868 4.538
Cl 1.514 5.353 12.980
Ba 7.474 2.483 1.459
K 10.598 5.353 1.854
K 13.626 0.000 3.708
Ba -7.666 4.304 10.296
Ba -1.203 6.157 1.327
Ba 11.961 1.609 0.131
K 4.542 0.000 11.125
K 4.542 9.635 9.271
Ba -4.446 14.646 1.459
Cl 9.084 0.000 0.000
Ba -6.206 12.156 5.958
Ba -0.557 1.511 2.879
Cl 7.570 7.494 5.563
Ba 1.825 2.353 13.413
Cl 7.570 4.282 11.125
Ba 7.259 -2.353 13.413
```

Output
Space group: Ia-3d (230)
Total magnetization in μB/f.u.: 7.62
ΔE_f (raw) in meV/atom: -732

Record 8
This record from Alexandria via LeMat-Bulk describes a relaxed NpTcNi crystal. The functional is GGA-PBE.

extended XYZ file:
```
3
Lattice="-1.623 1.487 -2.792 -2.428 -2.598 0.027 -0.229 2.688 3.829" Properties=species:S:1:pos:R:3 pbc="T T T"
Np -2.718 0.100 -0.631
Tc -1.591 1.505 1.727
Ni -4.250 1.550 1.032
```

Output
Space group: I4mm (107)
Total magnetization in μB/f.u.: 2.07
Polymorph energy (0 for the lowest one) in kJ/mol of formula units: 3
ΔE_f in eV per formula unit: 0.69

Record 9
This record from Alexandria via LeMat-Bulk describes a relaxed Mg2Tl5Cl12 crystal. The functional is GGA-PBE.

extended XYZ file:
```
19
Lattice="8.721 0.172 -2.703 -1.204 6.749 -3.453 -0.028 0.327 9.180" Properties=species:S:1:pos:R:3 pbc="T T T"
Cl 5.838 7.152 3.412
Cl 3.973 6.158 -2.444
Cl 0.195 2.912 1.278
Cl 4.616 2.549 -0.597
Cl 7.293 4.336 1.745
Mg -0.303 1.701 -0.870
Cl 1.651 0.096 -0.388
Tl 4.360 0.086 -1.352
Tl 6.553 4.882 -1.275
Tl 2.356 4.934 0.290
Cl 6.449 3.801 5.181
Tl 0.936 2.366 4.298
Cl 2.873 4.700 3.621
Tl 5.133 2.314 2.733
Cl 1.040 3.447 -2.157
Cl 7.884 1.024 3.440
Cl 3.516 1.091 5.467
Mg -0.900 5.048 -2.583
Cl -0.395 6.224 -0.416
```

Output
Space group: C2/m (12)
Total magnetization in μB/f.u.: 0.00
ΔE_f (raw) in meV/atom: -1135

Record 10
This record from Alexandria via LeMat-Bulk describes a relaxed KUReO6 crystal. The functional is GGA-PBE.

extended XYZ file:
```
18
Lattice="7.877 0.000 0.000 0.000 7.370 0.000 -3.939 -3.685 5.346" Properties=species:S:1:pos:R:3 pbc="T T T"
Re 3.939 0.000 0.000
K 3.939 1.843 3.576
O 1.383 -0.308 3.986
O 0.000 5.528 1.866
Re 3.939 3.685 0.000
O -1.383 3.994 3.986
O -1.383 -0.308 3.986
U 1.969 -1.843 2.673
O 1.383 3.994 3.986
O 2.556 -0.308 1.360
O 5.321 3.994 1.360
K 0.000 1.843 1.771
O 2.556 3.994 1.360
O 5.321 -0.308 1.360
O 0.000 1.843 4.932
O 3.939 -1.843 3.480
O 3.939 1.843 0.414
U -1.969 -1.843 2.673
```

Output
Space group: Imma (74)
Total magnetization in μB/f.u.: 1.08
ΔE_f (raw) in meV/atom: -2303

Record 11
This record from Alexandria via LeMat-Bulk describes a relaxed CdGa2Ir2 crystal. The functional is GGA-PBE.

extended XYZ file:
```
5
Lattice="3.901 0.000 0.000 0.000 3.901 0.000 1.950 1.950 5.781" Properties=species:S:1:pos:R:3 pbc="T T T"
Ga 1.950 3.901 2.891
Ir 1.950 1.950 1.292
Ir 3.901 3.901 4.490
Cd 0.000 0.000 0.000
Ga 3.901 1.950 2.891
```

Output
Space group: I4/mmm (139)
Total magnetization in μB/f.u.: 0.00
Polymorph energy (0 for the lowest one) in kJ/mol of formula units: 68
ΔE_f in eV per formula unit: -0.84

Record 12
This record from Alexandria via LeMat-Bulk describes a relaxed SnPbF4 crystal. The functional is GGA-PBE.

extended XYZ file:
```
6
Lattice="3.222 0.000 1.121 1.611 5.744 0.561 -0.277 0.000 5.986" Properties=species:S:1:pos:R:3 pbc="T T T"
F 3.654 4.275 2.819
Sn 1.611 0.000 0.561
F 3.439 1.461 2.752
F 2.517 4.283 5.403
F 2.726 1.469 5.484
Pb 1.473 2.872 3.554
```

Output
Space group: I-4 (82)
Total magnetization in μB/f.u.: 0.00
ΔE_f (raw) in meV/atom: -2170

Respective DOS at the Fermi energy values: 13.69, 2.96, 3.70, 5.99, 0.61, 6.28, 84.61, 7.51, 11.33, 6.82, 2.25, 0.00 states/eV per cell.